1.
Density functional theory data (PBE-GGA) for a relaxed Be4NbPd crystal.

Unit cell a=4.526 b=4.526 c=4.526 alpha=60.00 beta=60.00 gamma=60.00
Fractional coordinates of all 6 atoms:
1 Be 0.122 0.122 0.122
2 Be 0.122 0.122 0.635
3 Be 0.122 0.635 0.122
4 Be 0.635 0.122 0.122
5 Nb 0.750 0.750 0.750
6 Pd 0.500 0.500 0.500

Results
Volume, Å³/atom: 10.92
Raw total energy, eV/atom: -5.197
Calculated formation energy, eV per atom: -0.170

2.
Density functional theory data (PBE-GGA) for a relaxed BeNbPd2 crystal.

Unit cell a=8.253 b=8.253 c=8.253 alpha=20.02 beta=20.02 gamma=20.02
Fractional coordinates of all 4 atoms:
1 Be 0.000 0.000 0.000
2 Nb 0.500 0.500 0.500
3 Pd 0.265 0.265 0.265
4 Pd 0.735 0.735 0.735

Results
Volume, Å³/atom: 14.40
Raw total energy, eV/atom: -6.287
Calculated formation energy, eV per atom: -0.242

3.
Density functional theory data (PBE-GGA) for a relaxed BeNb2Pd crystal.

Unit cell a=9.792 b=9.792 c=9.792 alpha=16.39 beta=16.39 gamma=16.39
Fractional coordinates of all 4 atoms:
1 Be 0.000 0.000 0.000
2 Nb 0.409 0.409 0.409
3 Nb 0.591 0.591 0.591
4 Pd 0.500 0.500 0.500

Results
Volume, Å³/atom: 16.29
Raw total energy, eV/atom: -6.898
Calculated formation energy, eV per atom: 0.366

4.
Density functional theory data (PBE-GGA) for a relaxed Be16Nb2Pd crystal.

Unit cell a=5.655 b=5.655 c=5.655 alpha=83.13 beta=83.13 gamma=83.13
Fractional coordinates of all 19 atoms:
1 Be 0.045 0.045 0.045
2 Be 0.152 0.152 0.661
3 Be 0.152 0.661 0.152
4 Be 0.157 0.455 0.858
5 Be 0.157 0.858 0.455
6 Be 0.317 0.809 0.809
7 Be 0.455 0.157 0.858
8 Be 0.455 0.858 0.157
9 Be 0.505 0.505 0.991
10 Be 0.505 0.991 0.505
11 Be 0.661 0.152 0.152
12 Be 0.809 0.317 0.809
13 Be 0.809 0.809 0.317
14 Be 0.858 0.157 0.455
15 Be 0.858 0.455 0.157
16 Be 0.991 0.505 0.505
17 Nb 0.503 0.503 0.503
18 Nb 0.816 0.816 0.816
19 Pd 0.249 0.249 0.249

Results
Volume, Å³/atom: 9.33
Raw total energy, eV/atom: -4.721
Calculated formation energy, eV per atom: -0.250